[1]
Computed, not measured: a relaxed TaTcSe crystal at the PBE level of DFT.

## Properties
The value obtained for the relative energy among the computed polymorphs is 94 meV per atom. The volume comes out at 16.1 Å³ per atom. The formation energy from raw total energies is 0.013 eV per atom.

The structure in extended XYZ format:
```
3
Lattice="-5.0578 1.4287 -1.9835 -5.5165 -1.0294 -0.2419 -1.2632 1.7580 2.1448" Properties=species:S:1:pos:R:3 pbc="T T T"
Se -10.4873 0.4120 -2.1845
Ta -7.4435 0.8561 -0.7560
Tc -4.4812 1.2884 0.6344
```

=====

[2]
Computed, not measured: a relaxed NbGaNiIr crystal at the PBE level of DFT.

## Properties
The volume comes out at 14.6 Å³ per atom. The value obtained for the formation energy is -163 kJ/mol of formula units.

The structure in extended XYZ format:
```
4
Lattice="-3.1079 1.4038 2.0671 -0.8567 -3.6977 1.2230 4.1415 1.6159 1.2828" Properties=species:S:1:pos:R:3 pbc="T T T"
Nb 0.6512 -1.6142 2.0754
Ga -0.4744 0.9364 2.4975
Ni 2.1592 0.4690 2.9279
Ir 0.0000 -0.0001 0.0000
```

=====

[3]
Computed, not measured: a relaxed PmSm2HgC crystal at the PBE level of DFT.

## Properties
The volume comes out at 25.6 Å³ per atom. The value obtained for the formation energy is -122 kJ/mol of formula units.

The structure in extended XYZ format:
```
5
Lattice="-2.9348 3.6535 1.9267 -2.8058 -0.0547 -4.1701 -2.9861 -3.4823 2.0548" Properties=species:S:1:pos:R:3 pbc="T T T"
Pm -1.4674 1.8268 0.9633
Sm -1.4930 -1.7411 1.0274
Sm -1.4029 -0.0274 -2.0851
Hg -4.3633 0.0583 -0.0943
C 0.0000 0.0000 0.0000
```

=====

[4]
Computed, not measured: a relaxed Li2Pd3Au2 crystal at the PBE level of DFT.

## Properties
The value obtained for the relative energy among the computed polymorphs is 39 meV per atom. The volume comes out at 15.6 Å³ per atom. The value obtained for the formation energy is -214 kJ/mol of formula units.

The structure in extended XYZ format:
```
7
Lattice="4.4551 -0.7335 -1.7654 -0.2248 6.5410 3.4364 -1.4212 3.8027 6.1650" Properties=species:S:1:pos:R:3 pbc="T T T"
Li 2.4196 5.7777 3.8390
Li 0.3895 3.8325 3.9969
Pd 0.0000 0.0000 0.0000
Pd 2.2485 3.8902 1.8814
Pd 0.5606 5.7200 5.9545
Au 2.6338 7.7116 5.8622
Au 0.1753 1.8986 1.9737
```

=====

[5]
Computed, not measured: a relaxed BaP2Pb2 crystal at the PBE level of DFT.

## Properties
The volume comes out at 28.8 Å³ per atom. The value obtained for the formation energy is -178 kJ/mol of formula units.

The structure in extended XYZ format:
```
5
Lattice="-0.8946 -0.7092 -4.4542 0.7574 -4.5001 0.5644 -6.6450 -3.5275 -0.4771" Properties=species:S:1:pos:R:3 pbc="T T T"
Pb -3.8041 -3.4207 -3.4381
Pb -2.9781 -5.3161 -0.9288
P -1.1062 -2.7503 -1.7133
P -5.6759 -5.9865 -2.6536
Ba 0.0000 0.0000 0.0000
```

=====

[6]
Computed, not measured: a relaxed Cs4ZrNp3Se8 crystal at the PBE level of DFT.

## Properties
The volume comes out at 32.5 Å³ per atom. The formation energy from raw total energies is -1.239 eV per atom.

The structure in extended XYZ format:
```
16
Lattice="8.4562 0.0000 0.0000 0.0000 9.6823 0.8597 -4.2281 -4.2257 5.9813" Properties=species:S:1:pos:R:3 pbc="T T T"
Cs 4.2281 0.0000 0.0000
Cs 2.1141 -2.1128 2.9907
Cs 0.0000 0.0000 0.0000
Cs -2.1141 -2.1128 2.9907
Zr 0.0000 4.8411 0.4298
Np 4.2281 4.8411 0.4298
Np 2.1141 2.7283 3.4205
Np -2.1141 2.7283 3.4205
Se -2.1957 2.5571 6.3462
Se 0.0000 4.7516 3.2401
Se 0.0000 0.7300 3.5031
Se 2.1957 2.5571 6.3462
Se 2.0324 2.8995 0.4948
Se 4.2281 4.7266 3.3379
Se 4.2281 0.7050 3.6009
Se 6.4238 2.8995 0.4948
```

=====

[7]
Computed, not measured: a relaxed K3Tb2TmO6 crystal at the PBE level of DFT.

## Properties
The volume comes out at 16.4 Å³ per atom. The formation energy from raw total energies is -2.771 eV per atom.

The structure in extended XYZ format:
```
12
Lattice="-3.4805 -4.6512 -1.5968 3.3695 2.8004 -4.1355 4.7582 -3.3209 3.0915" Properties=species:S:1:pos:R:3 pbc="T T T"
K 4.6116 -0.0970 -2.1683
K 0.0357 -5.0748 -0.4725
K 2.3236 -2.5859 -1.3204
Tb 1.0863 0.3166 -3.2893
Tb -1.1973 -2.1675 -2.4430
Tm 0.0000 0.0000 0.0000
O 2.6689 -5.3611 -1.5034
O 0.7983 -1.9721 -3.6349
O 1.9784 0.1894 -1.1374
O 4.9147 -2.9181 -2.3357
O 3.8490 -3.1996 0.9941
O -0.2674 -2.2537 -0.3051
```

=====

[8]
Computed, not measured: a relaxed CaTiTe2 crystal at the PBE level of DFT.

## Properties
The value obtained for the relative energy among the computed polymorphs is 125 meV per atom. The volume comes out at 31.9 Å³ per atom. The formation energy from raw total energies is -0.617 eV per atom.

The structure in extended XYZ format:
```
4
Lattice="-8.2656 1.5931 5.1538 -8.0741 -2.3174 5.1826 -6.0393 -0.2384 7.8032" Properties=species:S:1:pos:R:3 pbc="T T T"
Ca 0.0000 0.0000 0.0000
Te -19.9461 -0.8580 16.1676
Te -2.4330 -0.1047 1.9721
Ti -11.1895 -0.4813 9.0698
```

=====

[9]
Computed, not measured: a relaxed LaAs2Os crystal at the PBE level of DFT.

## Properties
The value obtained for the relative energy among the computed polymorphs is 665 meV per atom. The volume comes out at 20.1 Å³ per atom. The value obtained for the formation energy is 1 kJ/mol of formula units.

The structure in extended XYZ format:
```
4
Lattice="4.3862 0.0000 0.0000 0.0000 4.3924 0.0000 0.0000 0.0000 4.1690" Properties=species:S:1:pos:R:3 pbc="T T T"
As 0.0000 0.0000 0.0000
As 2.1931 2.1962 0.0000
Os 0.0000 2.1962 2.0845
La 2.1931 0.0000 2.0845
```

=====

[10]
Computed, not measured: a relaxed Y2VFeNi crystal at the PBE level of DFT.

## Properties
The volume comes out at 23.5 Å³ per atom. The value obtained for the formation energy is 267 kJ/mol of formula units.

The structure in extended XYZ format:
```
5
Lattice="5.2129 0.0000 0.0000 0.0000 4.3254 0.0000 0.0000 0.0000 5.2129" Properties=species:S:1:pos:R:3 pbc="T T T"
Y 0.0000 0.0000 2.6064
Y 2.6064 0.0000 0.0000
Ni 0.0000 0.0000 0.0000
Fe 0.0000 2.1627 0.0000
V 2.6064 2.1627 2.6064
```

=====

[11]
Computed, not measured: a relaxed Na2NbCuO4 crystal at the PBE level of DFT.

## Properties
The volume comes out at 14.9 Å³ per atom. The formation energy from raw total energies is -1.826 eV per atom.

The structure in extended XYZ format:
```
8
Lattice="5.7183 -0.5951 -0.9117 -2.9750 4.9197 0.9117 -2.9749 -1.1452 4.8706" Properties=species:S:1:pos:R:3 pbc="T T T"
Na -0.1158 3.1059 1.4456
Na 0.0000 0.0000 0.0000
Nb -0.1158 0.0735 3.4250
Cu -2.9750 1.8872 2.8912
O 0.6879 0.9702 1.9646
O -1.9942 0.0771 3.1918
O 3.3279 2.1092 0.1575
O -2.4848 3.2022 4.4272
```

=====

[12]
Computed, not measured: a relaxed CaGdSiAu crystal at the PBE level of DFT.

## Properties
The volume comes out at 23.4 Å³ per atom. The formation energy from raw total energies is -0.662 eV per atom.

The structure in extended XYZ format:
```
4
Lattice="-2.5751 -3.6547 2.4466 2.0571 -4.6294 0.5579 1.5455 -1.5646 4.5976" Properties=species:S:1:pos:R:3 pbc="T T T"
Ca 0.0000 0.0000 0.0000
Gd 0.5137 -4.9244 3.8010
Au 0.2569 -2.4622 1.9005
Si 0.7706 -7.3865 5.7016
```